Computed, not measured: a relaxed NaWS4 crystal at the PBE level of DFT.

Cell and atoms, written as CIF:
```
data_NaWS4
_space_group_name_H-M_alt 'P 1'
_space_group_IT_number 1
_cell_length_a 4.9362
_cell_length_b 3.5049
_cell_length_c 7.7658
_cell_angle_alpha 90.00
_cell_angle_beta 101.76
_cell_angle_gamma 90.00
loop_
_space_group_symop_operation_xyz
'x,y,z'
loop_
_atom_site_label
_atom_site_type_symbol
_atom_site_fract_x
_atom_site_fract_y
_atom_site_fract_z
Na1 Na 0.0000 0.0000 0.0000
W1 W 0.0000 0.5000 0.5000
S1 S 0.2337 0.5000 0.7843
S2 S 0.3050 0.0000 0.4104
S3 S 0.6950 0.0000 0.5896
S4 S 0.7663 0.5000 0.2157
```

Summary:
Space-group type   P2/m
Formation energy (no corrections)   -0.401 eV/atom